# BeInTc2, relaxed, DFT PBE-GGA
# - crystal system = tetragonal
# - total DFT energy (no corrections) (hartree per atom) = -0.2339
# - size of the total moment (μB/atom) = 0.00
# - offset from the most stable computed form (meV per atom) = 446
# - DFT formation energy (kJ/mol of atoms) = 41.9
data_BeInTc2
_space_group_name_H-M_alt 'P 4/m m m'
_space_group_IT_number 123
_space_group_name_Hall '-P 4 2'
_cell_length_a 3.7851
_cell_length_b 3.7851
_cell_length_c 4.1846
_cell_angle_alpha 90.00
_cell_angle_beta 90.00
_cell_angle_gamma 90.00
loop_
_atom_site_label
_atom_site_type_symbol
_atom_site_fract_x
_atom_site_fract_y
_atom_site_fract_z
Be1 Be 0.0000 0.0000 0.0000
In1 In 0.5000 0.5000 0.0000
Tc1 Tc 0.0000 0.5000 0.5000

=====

# RuRh2Au, relaxed, DFT PBE-GGA
# - crystal system = tetragonal
# - total DFT energy (no corrections) (hartree per atom) = -0.2429
# - size of the total moment (μB/atom) = 0.00
# - offset from the most stable computed form (meV per atom) = 128
# - DFT formation energy (kJ/mol of atoms) = 19.7
data_RuRh2Au
_space_group_name_H-M_alt 'I 4/m m m'
_space_group_IT_number 139
_space_group_name_Hall '-I 4 2'
_cell_length_a 3.8975
_cell_length_b 3.8975
_cell_length_c 7.8706
_cell_angle_alpha 90.00
_cell_angle_beta 90.00
_cell_angle_gamma 90.00
loop_
_atom_site_label
_atom_site_type_symbol
_atom_site_fract_x
_atom_site_fract_y
_atom_site_fract_z
Ru1 Ru 0.0000 0.0000 0.0000
Rh1 Rh 0.0000 0.5000 0.2500
Au1 Au 0.0000 0.0000 0.5000

=====

# ErMgTe2, relaxed, DFT PBE-GGA
# - crystal system = trigonal
# - total DFT energy (no corrections) (hartree per atom) = -0.1432
# - size of the total moment (μB/atom) = 0.09
# - offset from the most stable computed form (meV per atom) = 215
# - raw formation energy (eV/atom) = -0.7868
data_ErMgTe2
_space_group_name_H-M_alt 'P 32 2 1'
_space_group_IT_number 154
_cell_length_a 4.3326
_cell_length_b 4.3326
_cell_length_c 27.2973
_cell_angle_alpha 90.00
_cell_angle_beta 90.00
_cell_angle_gamma 120.00
loop_
_space_group_symop_operation_xyz
'x,y,z'
'-y,x-y,z+2/3'
'-x+y,-x,z+1/3'
'y,x,-z'
'x-y,-y,-z+1/3'
'-x,-x+y,-z+2/3'
loop_
_atom_site_label
_atom_site_type_symbol
_atom_site_fract_x
_atom_site_fract_y
_atom_site_fract_z
Er1 Er 0.0000 0.6709 0.3333
Mg1 Mg 0.0000 0.6638 0.8333
Te1 Te 0.0043 0.6667 0.7305

=====

# PrLuRe4, relaxed, DFT PBE-GGA
# - crystal system = cubic
# - total DFT energy (no corrections) (hartree per atom) = -0.3639
# - size of the total moment (μB/atom) = 0.00
# - DFT formation energy (kJ/mol of atoms) = -5.2
data_PrLuRe4
_space_group_name_H-M_alt 'F -4 3 m'
_space_group_IT_number 216
_space_group_name_Hall 'F -4 2 3'
_cell_length_a 7.7107
_cell_length_b 7.7107
_cell_length_c 7.7107
_cell_angle_alpha 90.00
_cell_angle_beta 90.00
_cell_angle_gamma 90.00
loop_
_atom_site_label
_atom_site_type_symbol
_atom_site_fract_x
_atom_site_fract_y
_atom_site_fract_z
Pr1 Pr 0.0000 0.0000 0.0000
Lu1 Lu 0.2500 0.2500 0.7500
Re1 Re 0.1248 0.1248 0.3752

=====

# SrLaPtI, relaxed, DFT PBE-GGA
# - crystal system = trigonal
# - total DFT energy (no corrections) (hartree per atom) = -0.1749
# - size of the total moment (μB/atom) = 0.00
# - raw formation energy (eV/atom) = -1.2097
data_SrLaPtI
_space_group_name_H-M_alt 'R 3 m'
_space_group_IT_number 160
_space_group_name_Hall 'R 3 -2"'
_cell_length_a 4.3690
_cell_length_b 4.3690
_cell_length_c 25.1281
_cell_angle_alpha 90.00
_cell_angle_beta 90.00
_cell_angle_gamma 120.00
loop_
_atom_site_label
_atom_site_type_symbol
_atom_site_fract_x
_atom_site_fract_y
_atom_site_fract_z
Sr1 Sr 0.0000 0.0000 0.0000
La1 La 0.0000 0.0000 0.7948
Pt1 Pt 0.0000 0.0000 0.4053
I1 I 0.0000 0.0000 0.2260

=====

# Ac6ClO8, relaxed, DFT PBE-GGA
# - crystal system = trigonal
# - total DFT energy (no corrections) (hartree per atom) = -0.2779
# - size of the total moment (μB/atom) = 0.07
# - raw formation energy (eV/atom) = -3.1507
data_Ac6ClO8
_space_group_name_H-M_alt 'R -3'
_space_group_IT_number 148
_space_group_name_Hall '-R 3'
_cell_length_a 7.2276
_cell_length_b 7.2276
_cell_length_c 19.6867
_cell_angle_alpha 90.00
_cell_angle_beta 90.00
_cell_angle_gamma 120.00
loop_
_atom_site_label
_atom_site_type_symbol
_atom_site_fract_x
_atom_site_fract_y
_atom_site_fract_z
Ac1 Ac 0.0051 0.6438 0.0881
Cl1 Cl 0.0000 0.0000 0.0000
O1 O 0.0000 0.0000 0.3311
O2 O 0.0044 0.6902 0.8817

=====

# RbCdF3, relaxed, DFT PBE-GGA
# - crystal system = monoclinic
# - total DFT energy (no corrections) (hartree per atom) = -0.1432
# - size of the total moment (μB/atom) = 0.00
# - raw formation energy (eV/atom) = -2.3961
data_RbCdF3
_space_group_name_H-M_alt 'C 1 2/c 1'
_space_group_IT_number 15
_cell_length_a 11.0846
_cell_length_b 11.7841
_cell_length_c 6.0672
_cell_angle_alpha 90.00
_cell_angle_beta 91.51
_cell_angle_gamma 90.00
loop_
_space_group_symop_operation_xyz
'x,y,z'
'-x,-y,-z'
'-x,y,-z+1/2'
'x,-y,z+1/2'
'x+1/2,y+1/2,z'
'-x+1/2,-y+1/2,-z'
'-x+1/2,y+1/2,-z+1/2'
'x+1/2,-y+1/2,z+1/2'
loop_
_atom_site_label
_atom_site_type_symbol
_atom_site_fract_x
_atom_site_fract_y
_atom_site_fract_z
Rb1 Rb 0.1729 0.0921 0.1529
Cd1 Cd 0.0000 0.2661 0.7500
Cd2 Cd 0.0000 0.4237 0.2500
F1 F 0.0852 0.1302 0.5624
F2 F 0.1015 0.4265 0.5893
F3 F 0.1181 0.3134 0.0507

=====

# NaPd3Pb3, relaxed, DFT PBE-GGA
# - crystal system = trigonal
# - total DFT energy (no corrections) (hartree per atom) = -0.1541
# - size of the total moment (μB/atom) = 0.00
# - offset from the most stable computed form (meV per atom) = 27
# - DFT formation energy (kJ/mol of atoms) = -18.3
data_NaPd3Pb3
_space_group_name_H-M_alt 'R -3'
_space_group_IT_number 148
_space_group_name_Hall '-R 3'
_cell_length_a 8.3110
_cell_length_b 8.3110
_cell_length_c 16.7512
_cell_angle_alpha 90.00
_cell_angle_beta 90.00
_cell_angle_gamma 120.00
loop_
_atom_site_label
_atom_site_type_symbol
_atom_site_fract_x
_atom_site_fract_y
_atom_site_fract_z
Na1 Na 0.0000 0.0000 0.1676
Pd1 Pd 0.9995 0.3274 0.5564
Pb1 Pb 0.0022 0.6753 0.6088

=====

# Y2ZnPt3, relaxed, DFT PBE-GGA
# - crystal system = hexagonal
# - total DFT energy (no corrections) (hartree per atom) = -0.2365
# - size of the total moment (μB/atom) = 0.00
# - DFT formation energy (kJ/mol of atoms) = -101.1
data_Y2ZnPt3
_space_group_name_H-M_alt 'P 63/m m c'
_space_group_IT_number 194
_space_group_name_Hall '-P 6c 2c'
_cell_length_a 5.5605
_cell_length_b 5.5605
_cell_length_c 8.4124
_cell_angle_alpha 90.00
_cell_angle_beta 90.00
_cell_angle_gamma 120.00
loop_
_atom_site_label
_atom_site_type_symbol
_atom_site_fract_x
_atom_site_fract_y
_atom_site_fract_z
Y1 Y 0.3333 0.6667 0.0582
Zn1 Zn 0.0000 0.0000 0.0000
Pt1 Pt 0.1679 0.3357 0.7500

=====

# MnTcC2I, relaxed, DFT PBE-GGA
# - crystal system = tetragonal
# - total DFT energy (no corrections) (hartree per atom) = -0.2223
# - size of the total moment (μB/atom) = 0.61
# - offset from the most stable computed form (meV per atom) = 491
# - raw formation energy (eV/atom) = 1.8577
data_MnTcC2I
_space_group_name_H-M_alt 'P 4/m m m'
_space_group_IT_number 123
_space_group_name_Hall '-P 4 2'
_cell_length_a 3.8061
_cell_length_b 3.8061
_cell_length_c 5.4252
_cell_angle_alpha 90.00
_cell_angle_beta 90.00
_cell_angle_gamma 90.00
loop_
_atom_site_label
_atom_site_type_symbol
_atom_site_fract_x
_atom_site_fract_y
_atom_site_fract_z
Mn1 Mn 0.0000 0.0000 0.0000
Tc1 Tc 0.5000 0.5000 0.5000
C1 C 0.0000 0.5000 0.0000
I1 I 0.0000 0.0000 0.5000

=====

# Tm3CO2, relaxed, DFT PBE-GGA
# - crystal system = orthorhombic
# - total DFT energy (no corrections) (hartree per atom) = -0.2817
# - size of the total moment (μB/atom) = 0.00
# - raw formation energy (eV/atom) = -2.2404
data_Tm3CO2
_space_group_name_H-M_alt 'I m m m'
_space_group_IT_number 71
_space_group_name_Hall '-I 2 2'
_cell_length_a 3.4315
_cell_length_b 4.8126
_cell_length_c 10.1958
_cell_angle_alpha 90.00
_cell_angle_beta 90.00
_cell_angle_gamma 90.00
loop_
_atom_site_label
_atom_site_type_symbol
_atom_site_fract_x
_atom_site_fract_y
_atom_site_fract_z
Tm1 Tm 0.0000 0.0000 0.0000
Tm2 Tm 0.0000 0.0000 0.3380
C1 C 0.0000 0.5000 0.0000
O1 O 0.0000 0.5000 0.3360

=====

# NbWI2, relaxed, DFT PBE-GGA
# - crystal system = cubic
# - total DFT energy (no corrections) (hartree per atom) = -0.1976
# - size of the total moment (μB/atom) = 0.00
# - raw formation energy (eV/atom) = 1.1529
data_NbWI2
_space_group_name_H-M_alt 'F m -3 m'
_space_group_IT_number 225
_space_group_name_Hall '-F 4 2 3'
_cell_length_a 6.8207
_cell_length_b 6.8207
_cell_length_c 6.8207
_cell_angle_alpha 90.00
_cell_angle_beta 90.00
_cell_angle_gamma 90.00
loop_
_atom_site_label
_atom_site_type_symbol
_atom_site_fract_x
_atom_site_fract_y
_atom_site_fract_z
Nb1 Nb 0.0000 0.0000 0.0000
W1 W 0.0000 0.0000 0.5000
I1 I 0.2500 0.2500 0.2500

=====

# DyCuPd6, relaxed, DFT PBE-GGA
# - crystal system = tetragonal
# - total DFT energy (no corrections) (hartree per atom) = -0.1990
# - size of the total moment (μB/atom) = 0.00
# - offset from the most stable computed form (meV per atom) = 0
# - DFT formation energy (kJ/mol of atoms) = -41.9
data_DyCuPd6
_space_group_name_H-M_alt 'P 4/m m m'
_space_group_IT_number 123
_space_group_name_Hall '-P 4 2'
_cell_length_a 4.0309
_cell_length_b 4.0309
_cell_length_c 7.9781
_cell_angle_alpha 90.00
_cell_angle_beta 90.00
_cell_angle_gamma 90.00
loop_
_atom_site_label
_atom_site_type_symbol
_atom_site_fract_x
_atom_site_fract_y
_atom_site_fract_z
Dy1 Dy 0.0000 0.0000 0.0000
Cu1 Cu 0.0000 0.0000 0.5000
Pd1 Pd 0.0000 0.5000 0.2654
Pd2 Pd 0.5000 0.5000 0.0000
Pd3 Pd 0.5000 0.5000 0.5000

=====

# Er2HPb, relaxed, DFT PBE-GGA
# - crystal system = monoclinic
# - total DFT energy (no corrections) (hartree per atom) = -0.1636
# - size of the total moment (μB/atom) = 0.00
# - offset from the most stable computed form (meV per atom) = 123
data_Er2HPb
_space_group_name_H-M_alt 'P 1 21/c 1'
_space_group_IT_number 14
_cell_length_a 8.4693
_cell_length_b 6.3300
_cell_length_c 6.7667
_cell_angle_alpha 90.00
_cell_angle_beta 99.80
_cell_angle_gamma 90.00
loop_
_space_group_symop_operation_xyz
'x,y,z'
'-x,-y,-z'
'-x,y+1/2,-z+1/2'
'x,-y+1/2,z+1/2'
loop_
_atom_site_label
_atom_site_type_symbol
_atom_site_fract_x
_atom_site_fract_y
_atom_site_fract_z
Er1 Er 0.0696 0.1601 0.3208
Er2 Er 0.2905 0.6549 0.5167
H1 H 0.0637 0.6636 0.9271
Pb1 Pb 0.3887 0.1573 0.6488

=====

# Pm2CdSn3, relaxed, DFT PBE-GGA
# - crystal system = orthorhombic
# - total DFT energy (no corrections) (hartree per atom) = -0.1494
# - size of the total moment (μB/atom) = 0.00
# - DFT formation energy (kJ/mol of atoms) = -31.6
data_Pm2CdSn3
_space_group_name_H-M_alt 'I m m m'
_space_group_IT_number 71
_space_group_name_Hall '-I 2 2'
_cell_length_a 3.5498
_cell_length_b 5.6940
_cell_length_c 17.4841
_cell_angle_alpha 90.00
_cell_angle_beta 90.00
_cell_angle_gamma 90.00
loop_
_atom_site_label
_atom_site_type_symbol
_atom_site_fract_x
_atom_site_fract_y
_atom_site_fract_z
Pm1 Pm 0.0000 0.0000 0.1553
Cd1 Cd 0.0000 0.0000 0.5000
Sn1 Sn 0.0000 0.0000 0.3356
Sn2 Sn 0.0000 0.5000 0.5000